Entry 1:
## Rb2AlB2 (PBE)

Data for a geometry-optimized Rb2AlB2 structure.

Cell and atoms, written as extended XYZ:
```
5
Lattice="6.8531 0.0000 0.0000 0.0000 6.8531 0.0000 3.4265 3.4265 2.9131" Properties=species:S:1:pos:R:3 pbc="T T T"
B 3.4265 3.4265 0.7936
B 6.8531 6.8531 2.1196
Al 0.0000 0.0000 0.0000
Rb 6.8531 3.4265 1.4566
Rb 3.4265 6.8531 1.4566
```

Properties
magnetization = 0.0 μB per formula unit
E_form = 0.76 eV per atom

Entry 2:
## LaMoPb2 (PBE)

Data for a geometry-optimized LaMoPb2 structure.

Cell and atoms, written as extended XYZ:
```
4
Lattice="-0.6084 -3.1627 -3.4107 -3.1313 -2.2631 2.6570 -3.5183 2.6834 -1.8607" Properties=species:S:1:pos:R:3 pbc="T T T"
La -2.0633 -0.2396 -2.6357
Mo -3.3248 0.2101 0.3982
Pb 0.0000 0.0000 0.0000
Pb -1.8698 -2.7129 -0.3768
```

Properties
magnetization = 2.3 μB per formula unit
E_form = 0.28 eV per atom

Entry 3:
## CdCo2Se (PBE)

Data for a geometry-optimized CdCo2Se structure.

Cell and atoms, written as extended XYZ:
```
4
Lattice="-0.3146 3.7957 -4.2233 0.4301 -1.2393 -5.5337 -2.6004 -0.6290 5.0185" Properties=species:S:1:pos:R:3 pbc="T T T"
Cd -1.0538 -0.2414 -2.9018
Co 0.1090 2.4112 -9.2031
Co -1.4302 2.1880 -1.9105
Se 0.0635 1.4040 -5.3587
```

Properties
energy = -4.34 eV/atom
magnetization = 2.6 μB per formula unit

Entry 4:
## Al2CrSe (PBE)

Data for a geometry-optimized Al2CrSe structure.

Cell and atoms, written as extended XYZ:
```
4
Lattice="-2.6902 1.9672 -3.4587 -3.9296 -0.6799 -2.6769 -3.5235 2.6866 3.5108" Properties=species:S:1:pos:R:3 pbc="T T T"
Cr -5.4596 2.2348 -1.0880
Al -3.5762 2.5392 2.9279
Al -7.6035 2.8333 -2.4603
Se -2.0992 1.0402 0.1942
```

Properties
energy = -5.15 eV/atom
magnetization = 0.6 μB per formula unit

Entry 5:
## CaAc4La6 (PBE)

Data for a geometry-optimized CaAc4La6 structure.

Cell and atoms, written as extended XYZ:
```
11
Lattice="7.7731 -1.5210 -4.6289 -4.9684 7.7076 0.2641 -0.9804 1.5210 8.9937" Properties=species:S:1:pos:R:3 pbc="T T T"
Ca 0.0000 0.0000 0.0000
Ac -2.8505 4.4220 0.6175
Ac 1.2015 3.2856 1.7796
Ac -0.8113 1.2586 5.0812
Ac -1.6643 7.9700 6.4085
La -4.0673 6.3097 3.7952
La -2.7138 4.2100 6.7579
La -0.9297 5.0185 3.9813
La 1.4024 3.0933 -2.1824
La 3.5863 1.3979 -0.6476
La 3.3964 0.0000 2.1824
```

Properties
magnetization = 0.0 μB per formula unit
E_form = 0.25 eV per atom

Entry 6:
## CaTe2Se (PBE)

Data for a geometry-optimized CaTe2Se structure.

Cell and atoms, written as extended XYZ:
```
4
Lattice="-3.7869 3.4034 0.5493 -2.5850 -2.2634 -3.7974 -1.8553 -2.5095 2.7588" Properties=species:S:1:pos:R:3 pbc="T T T"
Ca -2.8211 0.4470 1.6540
Te 0.0000 0.0000 0.0000
Te -3.1860 0.5700 -1.6241
Se -2.2202 -2.3865 -0.5193
```

Properties
energy = -3.41 eV/atom
magnetization = 0.0 μB per formula unit